TmAl2GePd4: relaxed, PBE.

**Final energy**: -5.384 eV per atom
**Formation energy**: -716 meV per atom
**Total magnetization**: 0.00 μB/f.u.

abc: 4.3632 4.3632 24.5526
angles: 90.00 90.00 120.00
Space group R-3m (No. 166, hexagonal axes)
Inequivalent atoms, fractional coordinates:
Tm: 0.0000 0.0000 0.0000 x3
Al: 0.0000 0.0000 0.2486 x6
Ge: 0.0000 0.0000 0.5000 x3
Pd: 0.0000 0.0000 0.1300 x6
Pd: 0.0000 0.0000 0.3972 x6

=====

BeMoPIr: relaxed, PBE.

**Final energy**: -7.602 eV per atom
**Formation energy**: -395 meV per atom
**Total magnetization**: 0.00 μB/f.u.

abc: 3.334 2.989 10.516
angles: 90.00 90.00 90.00
Space group Amm2 (No. 38)
Inequivalent atoms, fractional coordinates:
Be: 0.000 0.000 0.000 x2
Mo: 0.500 0.000 0.352 x2
P: 0.000 0.000 0.761 x2
Ir: 0.500 0.000 0.606 x2

=====

ReTc3F: relaxed, PBE.

**Final energy**: -8.200 eV per atom
**ΔE_f (raw)**: 4.42 eV/f.u.
**Total magnetization**: 0.00 μB/f.u.

abc: 4.125 4.125 4.125
angles: 90.00 90.00 90.00
Space group Pm-3m (No. 221)
Inequivalent atoms, fractional coordinates:
Re: 0.000 0.000 0.000 x1
Tc: 0.000 0.500 0.500 x3
F: 0.500 0.500 0.500 x1